# AgAs3 PBE-GGA relaxed
# Crystal system ... hexagonal
# Relative energy among the computed polymorphs ... 27.8 kJ/mol of atoms
# E_tot ... -3.782 eV per atom
# DOS at the Fermi energy ... 2.41 states/eV/f.u.
data_AgAs3
_cell_length_a 5.9668
_cell_length_b 5.9668
_cell_length_c 10.1998
_cell_angle_alpha 90.00
_cell_angle_beta 90.00
_cell_angle_gamma 120.00
_space_group_name_H-M_alt 'P 63/m m c'
_space_group_IT_number 194
_space_group_name_Hall '-P 6c 2c'
loop_
_atom_site_label
_atom_site_type_symbol
_atom_site_fract_x
_atom_site_fract_y
_atom_site_fract_z
Ag1 Ag 0.0000 0.0000 0.0000
Ag2 Ag 0.3333 0.6667 0.2500
As1 As 0.0000 0.5000 0.0000
As2 As 0.1515 0.3030 0.7500

***

# Ag3As2 PBE-GGA relaxed
# Crystal system ... orthorhombic
# Relative energy among the computed polymorphs ... 1.8 kJ/mol of atoms
# E_tot ... -3.352 eV per atom
# DOS at the Fermi energy ... 1.14 states/eV/f.u.
data_Ag3As2
_cell_length_a 9.961
_cell_length_b 24.426
_cell_length_c 3.116
_cell_angle_alpha 90.00
_cell_angle_beta 90.00
_cell_angle_gamma 90.00
_space_group_name_H-M_alt 'F d d 2'
_space_group_IT_number 43
_space_group_name_Hall 'F 2 -2d'
loop_
_atom_site_label
_atom_site_type_symbol
_atom_site_fract_x
_atom_site_fract_y
_atom_site_fract_z
Ag1 Ag 0.000 0.000 0.000
Ag2 Ag 0.003 0.400 0.001
As1 As 0.002 0.299 0.507

***

# Ag2As PBE-GGA relaxed
# Crystal system ... hexagonal
# Relative energy among the computed polymorphs ... 5.8 kJ/mol of atoms
# E_tot ... -3.273 eV per atom
# DOS at the Fermi energy ... 1.31 states/eV/f.u.
data_Ag2As
_cell_length_a 4.7346
_cell_length_b 4.7346
_cell_length_c 5.7708
_cell_angle_alpha 90.00
_cell_angle_beta 90.00
_cell_angle_gamma 120.00
_space_group_name_H-M_alt 'P 63/m m c'
_space_group_IT_number 194
_space_group_name_Hall '-P 6c 2c'
loop_
_atom_site_label
_atom_site_type_symbol
_atom_site_fract_x
_atom_site_fract_y
_atom_site_fract_z
Ag1 Ag 0.0000 0.0000 0.0000
Ag2 Ag 0.3333 0.6667 0.2500
As1 As 0.3333 0.6667 0.7500

***

# AgAs3 PBE-GGA relaxed
# Crystal system ... orthorhombic
# Relative energy among the computed polymorphs ... 17.0 kJ/mol of atoms
# E_tot ... -3.894 eV per atom
# DOS at the Fermi energy ... 1.47 states/eV/f.u.
data_AgAs3
_cell_length_a 3.581
_cell_length_b 4.222
_cell_length_c 10.548
_cell_angle_alpha 90.00
_cell_angle_beta 90.00
_cell_angle_gamma 90.00
_space_group_name_H-M_alt 'I m m m'
_space_group_IT_number 71
_space_group_name_Hall '-I 2 2'
loop_
_atom_site_label
_atom_site_type_symbol
_atom_site_fract_x
_atom_site_fract_y
_atom_site_fract_z
Ag1 Ag 0.000 0.000 0.000
As1 As 0.000 0.000 0.500
As2 As 0.000 0.500 0.203

***

# AgAs8 PBE-GGA relaxed
# Crystal system ... tetragonal
# E_tot ... -4.078 eV per atom
# DOS at the Fermi energy ... 4.10 states/eV/f.u.
data_AgAs8
_cell_length_a 10.130
_cell_length_b 10.130
_cell_length_c 4.179
_cell_angle_alpha 90.00
_cell_angle_beta 90.00
_cell_angle_gamma 90.00
_space_group_name_H-M_alt 'I 4/m m m'
_space_group_IT_number 139
_space_group_name_Hall '-I 4 2'
loop_
_atom_site_label
_atom_site_type_symbol
_atom_site_fract_x
_atom_site_fract_y
_atom_site_fract_z
Ag1 Ag 0.000 0.000 0.000
As1 As 0.000 0.373 0.000
As2 As 0.126 0.126 0.500

***

# AgAs3 PBE-GGA relaxed
# Crystal system ... cubic
# Relative energy among the computed polymorphs ... 100.8 kJ/mol of atoms
# E_tot ... -3.025 eV per atom
# DOS at the Fermi energy ... 3.60 states/eV/f.u.
data_AgAs3
_cell_length_a 5.081
_cell_length_b 5.081
_cell_length_c 5.081
_cell_angle_alpha 90.00
_cell_angle_beta 90.00
_cell_angle_gamma 90.00
_space_group_name_H-M_alt 'P m -3 m'
_space_group_IT_number 221
_space_group_name_Hall '-P 4 2 3'
loop_
_atom_site_label
_atom_site_type_symbol
_atom_site_fract_x
_atom_site_fract_y
_atom_site_fract_z
Ag1 Ag 0.000 0.000 0.000
As1 As 0.000 0.000 0.500

***

# Ag3As2 PBE-GGA relaxed
# Crystal system ... trigonal
# Relative energy among the computed polymorphs ... 0.0 kJ/mol of atoms
# E_tot ... -3.371 eV per atom
# DOS at the Fermi energy ... 3.62 states/eV/f.u.
data_Ag3As2
_cell_length_a 3.1299
_cell_length_b 3.1299
_cell_length_c 32.9784
_cell_angle_alpha 90.00
_cell_angle_beta 90.00
_cell_angle_gamma 120.00
_space_group_name_H-M_alt 'R -3 m'
_space_group_IT_number 166
_space_group_name_Hall '-R 3 2"'
loop_
_atom_site_label
_atom_site_type_symbol
_atom_site_fract_x
_atom_site_fract_y
_atom_site_fract_z
Ag1 Ag 0.0000 0.0000 0.0000
Ag2 Ag 0.0000 0.0000 0.2010
As1 As 0.0000 0.0000 0.3996

***

# AgAs PBE-GGA relaxed
# Crystal system ... monoclinic
# Relative energy among the computed polymorphs ... 5.8 kJ/mol of atoms
# E_tot ... -3.582 eV per atom
# DOS at the Fermi energy ... 0.74 states/eV/f.u.
data_AgAs
_cell_length_a 2.882
_cell_length_b 3.495
_cell_length_c 7.804
_cell_angle_alpha 90.00
_cell_angle_beta 96.61
_cell_angle_gamma 90.00
_space_group_name_H-M_alt 'P 1 21/m 1'
_space_group_IT_number 11
loop_
_space_group_symop_operation_xyz
'x,y,z'
'-x,-y,-z'
'-x,y+1/2,-z'
'x,-y+1/2,z'
loop_
_atom_site_label
_atom_site_type_symbol
_atom_site_fract_x
_atom_site_fract_y
_atom_site_fract_z
Ag1 Ag 0.210 0.250 0.379
As1 As 0.444 0.250 0.874

***

# AgAs3 PBE-GGA relaxed
# Crystal system ... monoclinic
# Relative energy among the computed polymorphs ... 3.4 kJ/mol of atoms
# E_tot ... -4.035 eV per atom
# DOS at the Fermi energy ... 1.20 states/eV/f.u.
data_AgAs3
_cell_length_a 2.768
_cell_length_b 3.784
_cell_length_c 7.771
_cell_angle_alpha 90.00
_cell_angle_beta 90.57
_cell_angle_gamma 90.00
_space_group_name_H-M_alt 'P 1 2/m 1'
_space_group_IT_number 10
loop_
_space_group_symop_operation_xyz
'x,y,z'
'-x,-y,-z'
'-x,y,-z'
'x,-y,z'
loop_
_atom_site_label
_atom_site_type_symbol
_atom_site_fract_x
_atom_site_fract_y
_atom_site_fract_z
Ag1 Ag 0.000 0.000 0.000
As1 As 0.000 0.000 0.500
As2 As 0.012 0.500 0.746

***

# Ag2As PBE-GGA relaxed
# Crystal system ... tetragonal
# Relative energy among the computed polymorphs ... 5.1 kJ/mol of atoms
# E_tot ... -3.281 eV per atom
# DOS at the Fermi energy ... 1.14 states/eV/f.u.
data_Ag2As
_cell_length_a 3.546
_cell_length_b 3.546
_cell_length_c 8.855
_cell_angle_alpha 90.00
_cell_angle_beta 90.00
_cell_angle_gamma 90.00
_space_group_name_H-M_alt 'I 4/m m m'
_space_group_IT_number 139
_space_group_name_Hall '-I 4 2'
loop_
_atom_site_label
_atom_site_type_symbol
_atom_site_fract_x
_atom_site_fract_y
_atom_site_fract_z
Ag1 Ag 0.000 0.000 0.164
As1 As 0.000 0.000 0.500

***

# AgAs PBE-GGA relaxed
# Crystal system ... orthorhombic
# Relative energy among the computed polymorphs ... 7.8 kJ/mol of atoms
# E_tot ... -3.561 eV per atom
# DOS at the Fermi energy ... 0.47 states/eV/f.u.
data_AgAs
_cell_length_a 5.715
_cell_length_b 3.023
_cell_length_c 4.613
_cell_angle_alpha 90.00
_cell_angle_beta 90.00
_cell_angle_gamma 90.00
_space_group_name_H-M_alt 'P m m a'
_space_group_IT_number 51
loop_
_space_group_symop_operation_xyz
'x,y,z'
'-x,-y,-z'
'-x+1/2,-y,z'
'x+1/2,y,-z'
'x+1/2,-y,-z'
'-x+1/2,y,z'
'-x,y,-z'
'x,-y,z'
loop_
_atom_site_label
_atom_site_type_symbol
_atom_site_fract_x
_atom_site_fract_y
_atom_site_fract_z
Ag1 Ag 0.250 0.000 0.005
As1 As 0.250 0.500 0.505

***

# AgAs PBE-GGA relaxed
# Crystal system ... hexagonal
# Relative energy among the computed polymorphs ... 24.1 kJ/mol of atoms
# E_tot ... -3.392 eV per atom
# DOS at the Fermi energy ... 0.83 states/eV/f.u.
data_AgAs
_cell_length_a 4.5380
_cell_length_b 4.5380
_cell_length_c 5.4008
_cell_angle_alpha 90.00
_cell_angle_beta 90.00
_cell_angle_gamma 120.00
_space_group_name_H-M_alt 'P 63/m m c'
_space_group_IT_number 194
_space_group_name_Hall '-P 6c 2c'
loop_
_atom_site_label
_atom_site_type_symbol
_atom_site_fract_x
_atom_site_fract_y
_atom_site_fract_z
Ag1 Ag 0.3333 0.6667 0.2500
As1 As 0.3333 0.6667 0.7500

***

# AgAs PBE-GGA relaxed
# Crystal system ... cubic
# Relative energy among the computed polymorphs ... 18.3 kJ/mol of atoms
# E_tot ... -3.452 eV per atom
# DOS at the Fermi energy ... 1.10 states/eV/f.u.
data_AgAs
_cell_length_a 5.455
_cell_length_b 5.455
_cell_length_c 5.455
_cell_angle_alpha 90.00
_cell_angle_beta 90.00
_cell_angle_gamma 90.00
_space_group_name_H-M_alt 'F m -3 m'
_space_group_IT_number 225
_space_group_name_Hall '-F 4 2 3'
loop_
_atom_site_label
_atom_site_type_symbol
_atom_site_fract_x
_atom_site_fract_y
_atom_site_fract_z
Ag1 Ag 0.000 0.000 0.000
As1 As 0.000 0.000 0.500